# 1
5
Lattice="-3.279 -0.927 -0.063 0.138 -0.692 3.012 0.143 5.637 1.289" Properties=species:S:1:pos:R:3 comment="GGA+U MnGaH2O, optimized geometry" energy_ev_per_atom=-4.767 pbc="T T T"
Mn -2.246 2.538 0.686
Ga -3.130 -0.651 1.582
H -2.498 3.319 2.466
H -0.744 3.480 0.833
O -1.768 0.779 1.849

=====

# 2
10
Lattice="-2.746 -0.453 -1.176 -0.343 -3.964 2.328 -3.854 4.581 7.230" Properties=species:S:1:pos:R:3 comment="GGA+U MnGaH2O, optimized geometry" energy_ev_per_atom=-4.789 pbc="T T T"
Mn -3.097 1.823 2.647
Mn -5.195 2.131 7.426
Ga -0.405 0.482 0.760
Ga -2.503 0.790 5.539
H -4.684 -0.306 7.171
H -4.397 3.011 5.223
H -2.585 -0.614 2.391
H -2.642 -1.262 2.772
O -1.173 1.394 2.200
O -3.271 1.702 6.979

=====

# 3
10
Lattice="5.203 0.000 0.177 0.000 3.208 0.000 -4.245 0.000 8.250" Properties=species:S:1:pos:R:3 comment="GGA+U MnGaH2O, optimized geometry" energy_ev_per_atom=-4.790 pbc="T T T"
Mn -2.818 0.000 6.591
Mn -0.696 1.604 2.466
Ga 1.915 0.000 4.080
Ga -0.208 1.604 8.205
H 0.591 0.000 7.469
H 2.713 1.604 3.344
H 3.886 0.000 1.226
H 1.763 1.604 5.351
O 0.318 0.000 3.161
O -1.805 1.604 7.286

=====

# 4
5
Lattice="-0.377 -3.458 -0.768 3.550 -0.033 0.102 -1.699 0.630 5.234" Properties=species:S:1:pos:R:3 comment="GGA+U MnGaH2O, optimized geometry" energy_ev_per_atom=-4.770 pbc="T T T"
Mn -1.025 -1.046 3.917
Ga 0.574 -2.510 2.416
H 1.672 -3.269 0.416
H -0.548 -1.149 2.147
O 1.021 -2.538 0.490

=====

# 5
5
Lattice="-3.472 1.449 -2.026 0.047 -2.514 -1.878 -1.166 -2.943 3.911" Properties=species:S:1:pos:R:3 comment="GGA+U MnGaH2O, optimized geometry" energy_ev_per_atom=-4.776 pbc="T T T"
Mn -1.194 -1.306 -0.904
Ga -3.715 0.130 -0.267
H -2.619 -1.720 2.239
H -2.971 -1.705 -0.414
O -1.902 -2.117 2.788

=====

# 6
5
Lattice="-0.549 -4.386 -1.207 -0.408 -0.837 3.226 -4.414 2.634 0.125" Properties=species:S:1:pos:R:3 comment="GGA+U MnGaH2O, optimized geometry" energy_ev_per_atom=-4.774 pbc="T T T"
Mn -1.404 -1.533 1.172
Ga -2.629 1.032 -0.065
H -2.417 0.126 1.474
H -2.502 -1.851 -0.796
O -4.465 1.307 -0.226

=====

# 7
10
Lattice="-3.478 0.292 6.488 -1.500 -2.926 -0.672 4.834 -2.411 -0.294" Properties=species:S:1:pos:R:3 comment="GGA+U MnGaH2O, optimized geometry" energy_ev_per_atom=-4.833 pbc="T T T"
Mn 1.756 -1.743 3.666
Mn -1.411 -2.000 3.477
Ga 0.229 -0.465 1.510
Ga 1.896 -3.133 1.027
H -2.016 -0.341 5.979
H -0.349 -3.009 5.496
H -1.411 -0.191 3.981
H 0.255 -2.859 3.497
O -2.894 0.090 6.064
O -1.227 -2.578 5.581

=====

# 8
10
Lattice="-3.018 3.738 -4.876 1.700 -1.578 -2.262 -2.100 -4.818 1.783" Properties=species:S:1:pos:R:3 comment="GGA+U MnGaH2O, optimized geometry" energy_ev_per_atom=-4.798 pbc="T T T"
Mn -2.690 0.628 -2.460
Mn -2.890 -2.570 -2.699
Ga -1.755 -2.871 0.685
Ga 0.145 -1.251 -1.338
H -3.484 -0.968 -1.943
H -1.584 0.652 -3.965
H -2.072 2.246 -3.124
H -2.272 -0.952 -3.364
O -1.087 0.431 -1.117
O -1.287 -2.767 -1.357